# 1
Computed, not measured: a relaxed structure of Cs2K2S at the GGA-PBE level of DFT.

Values from the calculation:
E_form (uncorrected)	-0.35	eV per atom
ρ	1.92	g/cm3
D(E_F)	0.731	states/eV/f.u.
total magnetic moment	0.000	μB per cell
total DFT energy (no corrections)	-9.78	eV per formula unit
space group	P4/mbm (127)

a b c (Å): 8.9242 8.9242 8.1487
angles (deg): 90.00 90.00 90.00
Fractional positions:
Cs 0.1663 0.3337 0.0000
Cs 0.3337 0.8337 0.0000
Cs 0.6663 0.1663 0.0000
Cs 0.8337 0.6663 0.0000
K 0.1836 0.6836 0.5000
K 0.3164 0.1836 0.5000
K 0.6836 0.8164 0.5000
K 0.8164 0.3164 0.5000
S 0.0000 0.0000 0.0000
S 0.5000 0.5000 0.0000



# 2
Computed, not measured: a relaxed structure of Na2Tl at the GGA-PBE level of DFT.

Values from the calculation:
energy of formation from the pure elements	-0.10	eV per atom
ρ	4.49	g/cm3
D(E_F)	1.138	states/eV/f.u.
energy relative to the lowest polymorph listed for this composition	0	meV per atom
total magnetic moment	0.000	μB per cell
total DFT energy (no corrections)	-5.30	eV per formula unit
space group	C222_1 (20)

a b c (Å): 8.3928 8.3928 11.6670
angles (deg): 90.00 90.00 115.56
Fractional positions:
Na 0.0504 0.7868 0.0831
Na 0.0713 0.9287 0.7500
Na 0.0962 0.5087 0.3290
Na 0.1629 0.4088 0.0427
Na 0.2132 0.9496 0.4169
Na 0.3995 0.3995 0.5000
Na 0.4088 0.1629 0.9573
Na 0.4913 0.9038 0.1710
Na 0.5087 0.0962 0.6710
Na 0.5912 0.8371 0.4573
Na 0.6005 0.6005 0.0000
Na 0.7868 0.0504 0.9169
Na 0.8371 0.5912 0.5427
Na 0.9038 0.4913 0.8290
Na 0.9287 0.0713 0.2500
Na 0.9496 0.2132 0.5831
Tl 0.2303 0.6632 0.6147
Tl 0.2716 0.3684 0.7773
Tl 0.3368 0.7697 0.8853
Tl 0.3684 0.2716 0.2227
Tl 0.6316 0.7284 0.7227
Tl 0.6632 0.2303 0.3853
Tl 0.7284 0.6316 0.2773
Tl 0.7697 0.3368 0.1147



# 3
Computed, not measured: a relaxed structure of Cs2Cu2Cl5 at the GGA-PBE level of DFT.

Values from the calculation:
E_form (uncorrected)	-1.15	eV per atom
ρ	3.76	g/cm3
D(E_F)	3.319	states/eV/f.u.
energy relative to the lowest polymorph listed for this composition	11	meV per atom
total magnetic moment	0.000	μB per cell
total DFT energy (no corrections)	-29.51	eV per formula unit
space group	P4/mmm (123)

a b c (Å): 4.8199 4.8199 10.8384
angles (deg): 90.00 90.00 90.00
Fractional positions:
Cs 0.0000 0.0000 0.0000
Cs 0.0000 0.0000 0.5000
Cu 0.5000 0.5000 0.2296
Cu 0.5000 0.5000 0.7704
Cl 0.0000 0.5000 0.2657
Cl 0.0000 0.5000 0.7343
Cl 0.5000 0.0000 0.2657
Cl 0.5000 0.0000 0.7343
Cl 0.5000 0.5000 0.0000



# 4
Computed, not measured: a relaxed structure of Rb2PdRhBr6 at the GGA-PBE level of DFT.

Values from the calculation:
E_form (uncorrected)	-0.84	eV per atom
ρ	4.93	g/cm3
D(E_F)	5.913	states/eV/f.u.
total magnetic moment	0.003	μB per cell
total DFT energy (no corrections)	-32.91	eV per formula unit
space group	I4/mmm (139)

a b c (Å): 7.4225 7.4225 7.4225
angles (deg): 119.86 119.86 90.24
Fractional positions:
Rb 0.2500 0.7500 0.5000
Rb 0.7500 0.2500 0.5000
Pd 0.0000 0.0000 0.0000
Rh 0.5000 0.5000 0.0000
Br 0.2540 0.2540 0.0000
Br 0.2552 0.2552 0.5105
Br 0.2552 0.7448 0.0000
Br 0.7448 0.2552 0.0000
Br 0.7448 0.7448 0.4895
Br 0.7460 0.7460 0.0000



# 5
Computed, not measured: a relaxed structure of GaHgHAu at the GGA-PBE level of DFT.

Values from the calculation:
ρ	9.78	g/cm3
D(E_F)	1.193	states/eV/f.u.
energy relative to the lowest polymorph listed for this composition	37	meV per atom
total magnetic moment	0.000	μB per cell
total DFT energy (no corrections)	-9.62	eV per formula unit
space group	P1 (1)

a b c (Å): 3.2727 3.2738 7.5286
angles (deg): 97.00 96.72 90.07
Fractional positions:
Ga 0.0000 0.0000 0.0000
Hg 0.7998 0.8025 0.6544
H 0.6337 0.6416 0.4135
Au 0.5392 0.5414 0.1728



# 6
Computed, not measured: a relaxed structure of LaReC3 at the GGA-PBE level of DFT.

Values from the calculation:
energy of formation from the pure elements	3.52	eV per atom
ρ	8.05	g/cm3
D(E_F)	10.101	states/eV/f.u.
energy relative to the lowest polymorph listed for this composition	2975	meV per atom
total magnetic moment	0.000	μB per cell
total DFT energy (no corrections)	-27.45	eV per formula unit
space group	Pm-3m (221)

a b c (Å): 4.2079 4.2079 4.2079
angles (deg): 90.00 90.00 90.00
Fractional positions:
La 0.0000 0.0000 0.0000
Re 0.5000 0.5000 0.5000
C 0.0000 0.0000 0.5000
C 0.0000 0.5000 0.0000
C 0.5000 0.0000 0.0000



# 7
Computed, not measured: a relaxed structure of Be3HgSe at the GGA-PBE level of DFT.

Values from the calculation:
E_form (uncorrected)	0.88	eV per atom
ρ	6.00	g/cm3
D(E_F)	1.346	states/eV/f.u.
energy relative to the lowest polymorph listed for this composition	0	meV per atom
total magnetic moment	0.000	μB per cell
total DFT energy (no corrections)	-10.56	eV per formula unit
space group	Pm-3m (221)

a b c (Å): 4.3946 4.3946 4.3946
angles (deg): 90.00 90.00 90.00
Fractional positions:
Be 0.0000 0.0000 0.5000
Be 0.0000 0.5000 0.0000
Be 0.5000 0.0000 0.0000
Hg 0.5000 0.5000 0.5000
Se 0.0000 0.0000 0.0000



# 8
Computed, not measured: a relaxed structure of NbAl4Pt5 at the GGA-PBE level of DFT.

Values from the calculation:
energy of formation from the pure elements	-0.88	eV per atom
ρ	12.92	g/cm3
D(E_F)	4.906	states/eV/f.u.
total magnetic moment	0.000	μB per cell
total DFT energy (no corrections)	-64.09	eV per formula unit
space group	Pmmm (47)

a b c (Å): 2.8424 3.2075 16.5807
angles (deg): 90.00 90.00 90.00
Fractional positions:
Nb 0.0000 0.0000 0.0000
Al 0.0000 0.0000 0.2080
Al 0.0000 0.0000 0.4023
Al 0.0000 0.0000 0.5977
Al 0.0000 0.0000 0.7920
Pt 0.5000 0.5000 0.1162
Pt 0.5000 0.5000 0.3049
Pt 0.5000 0.5000 0.5000
Pt 0.5000 0.5000 0.6951
Pt 0.5000 0.5000 0.8838



# 9
Computed, not measured: a relaxed structure of Y2Ga4Pd3Pt at the GGA-PBE level of DFT.

Values from the calculation:
energy of formation from the pure elements	-0.83	eV per atom
ρ	8.65	g/cm3
D(E_F)	3.448	states/eV/f.u.
total magnetic moment	0.000	μB per cell
total DFT energy (no corrections)	-54.99	eV per formula unit
space group	P-4m2 (115)

a b c (Å): 4.0800 4.0800 11.1925
angles (deg): 90.00 90.00 90.00
Fractional positions:
Y 0.0000 0.5000 0.2501
Y 0.5000 0.0000 0.7499
Ga 0.0000 0.0000 0.0000
Ga 0.0000 0.5000 0.6352
Ga 0.5000 0.0000 0.3648
Ga 0.5000 0.5000 0.0000
Pd 0.0000 0.5000 0.8574
Pd 0.5000 0.0000 0.1426
Pd 0.5000 0.5000 0.5000
Pt 0.0000 0.0000 0.5000



# 10
Computed, not measured: a relaxed structure of HoEr2Cd5 at the GGA-PBE level of DFT.

Values from the calculation:
energy of formation from the pure elements	-0.29	eV per atom
ρ	9.08	g/cm3
D(E_F)	3.240	states/eV/f.u.
total magnetic moment	0.000	μB per cell
total DFT energy (no corrections)	-20.61	eV per formula unit
space group	I4/mmm (139)

a b c (Å): 8.2804 8.2804 8.2804
angles (deg): 144.10 144.10 51.68
Fractional positions:
Ho 0.0000 0.0000 0.0000
Er 0.2597 0.2597 0.0000
Er 0.7403 0.7403 0.0000
Cd 0.1206 0.6206 0.5000
Cd 0.3794 0.8794 0.5000
Cd 0.5000 0.5000 0.0000
Cd 0.6206 0.1206 0.5000
Cd 0.8794 0.3794 0.5000



# 11
Computed, not measured: a relaxed structure of Y2MnAl at the GGA-PBE level of DFT.

Values from the calculation:
energy of formation from the pure elements	0.48	eV per atom
ρ	4.79	g/cm3
D(E_F)	4.139	states/eV/f.u.
total magnetic moment	0.000	μB per cell
total DFT energy (no corrections)	-23.93	eV per formula unit
space group	I-42d (122)

a b c (Å): 6.2812 6.2812 6.2812
angles (deg): 102.35 102.35 124.91
Fractional positions:
Y 0.0722 0.6250 0.9472
Y 0.3750 0.3222 0.4472
Y 0.6778 0.1250 0.0528
Y 0.8750 0.9278 0.5528
Mn 0.0000 0.0000 0.0000
Mn 0.7500 0.2500 0.5000
Al 0.2500 0.7500 0.5000
Al 0.5000 0.5000 0.0000



# 12
Computed, not measured: a relaxed structure of ZrGa2Bi at the GGA-PBE level of DFT.

Values from the calculation:
energy of formation from the pure elements	0.06	eV per atom
ρ	7.80	g/cm3
D(E_F)	3.303	states/eV/f.u.
total magnetic moment	0.000	μB per cell
total DFT energy (no corrections)	-18.25	eV per formula unit
space group	I-42d (122)

a b c (Å): 6.3441 6.3441 6.3441
angles (deg): 102.83 102.83 123.76
Fractional positions:
Zr 0.0000 0.0000 0.0000
Zr 0.7500 0.2500 0.5000
Ga 0.1153 0.6250 0.9903
Ga 0.3750 0.3653 0.4903
Ga 0.6347 0.1250 0.0097
Ga 0.8750 0.8847 0.5097
Bi 0.2500 0.7500 0.5000
Bi 0.5000 0.5000 0.0000



Question: What is the formula in the fifth record?
Answer: GaHgHAu